(1)
Crystalline LiZn2In at its relaxed geometry, computed with PBE.

```
LiZn2In
1.0
2.2952 -4.1952 0.0000
2.2952 4.1952 0.0000
0.0000 0.0000 7.5997
Li Zn In
2 4 2
direct
0.0927 0.9073 0.7500
0.9073 0.0927 0.2500
0.2562 0.7438 0.0836
0.2562 0.7438 0.4164
0.7438 0.2562 0.5836
0.7438 0.2562 0.9164
0.4200 0.5800 0.7500
0.5800 0.4200 0.2500
```

Values from the calculation:
The value obtained for the density of states at the Fermi level is 1.6 states/eV/cell. For the calculated total energy, the calculation gives -1.88 eV/atom. Its space-group type is No. 63. The formation energy comes out at -7.5 kJ/mol of atoms. Its total moment is 0.000 μB per formula unit.



(2)
Crystalline Li2ZnIn4 at its relaxed geometry, computed with PBE.

```
Li2ZnIn4
1.0
0.0000 6.8699 6.8699
6.8699 0.0000 6.8699
6.8699 6.8699 0.0000
Li Zn In
8 4 16
direct
0.1377 0.7874 0.7874
0.2126 0.2126 0.2126
0.2126 0.2126 0.8623
0.2126 0.8623 0.2126
0.7874 0.1377 0.7874
0.7874 0.7874 0.1377
0.7874 0.7874 0.7874
0.8623 0.2126 0.2126
0.0000 0.5000 0.5000
0.5000 0.0000 0.5000
0.5000 0.5000 0.0000
0.5000 0.5000 0.5000
0.0000 0.0000 0.0000
0.0000 0.0000 0.5000
0.0000 0.5000 0.0000
0.1490 0.1490 0.6010
0.1490 0.6010 0.1490
0.1490 0.6010 0.6010
0.3990 0.3990 0.8510
0.3990 0.8510 0.3990
0.3990 0.8510 0.8510
0.5000 0.0000 0.0000
0.6010 0.1490 0.1490
0.6010 0.1490 0.6010
0.6010 0.6010 0.1490
0.8510 0.3990 0.3990
0.8510 0.3990 0.8510
0.8510 0.8510 0.3990
```

Values from the calculation:
The value obtained for the density of states at the Fermi level is 7.8 states/eV/cell. For the calculated total energy, the calculation gives -2.38 eV/atom. Its space-group type is No. 227. The formation energy comes out at -7.9 kJ/mol of atoms. Its total moment is 0.000 μB per formula unit.



(3)
Crystalline Li2ZnIn2 at its relaxed geometry, computed with PBE.

```
Li2ZnIn2
1.0
7.4973 0.0000 0.0000
0.0000 7.4973 0.0000
0.0000 0.0000 3.5878
Li Zn In
4 2 4
direct
0.1536 0.3464 0.0000
0.3464 0.8464 0.0000
0.6536 0.1536 0.0000
0.8464 0.6536 0.0000
0.0000 0.0000 0.5000
0.5000 0.5000 0.5000
0.1470 0.6470 0.5000
0.3530 0.1470 0.5000
0.6470 0.8530 0.5000
0.8530 0.3530 0.5000
```

Values from the calculation:
The value obtained for the density of states at the Fermi level is 2.7 states/eV/cell. For the calculated total energy, the calculation gives -2.23 eV/atom. Its space-group type is No. 127. The formation energy comes out at -10.9 kJ/mol of atoms. Its total moment is 0.000 μB per formula unit. The offset from the most stable computed form comes out at 42 meV per atom.